Record 1
# NiPPt2 | Alexandria | GGA-PBE | relaxed
# calculated total energy = -5.732 eV per atom
# space-group type = F-43m
data_NiPPt2
_cell_length_a 4.323
_cell_length_b 4.323
_cell_length_c 4.323
_cell_angle_alpha 60.00
_cell_angle_beta 60.00
_cell_angle_gamma 60.00
_space_group_name_H-M_alt 'P 1'
_space_group_IT_number 1
loop_
_space_group_symop_operation_xyz
'x,y,z'
loop_
_atom_site_label
_atom_site_type_symbol
_atom_site_fract_x
_atom_site_fract_y
_atom_site_fract_z
Pt1 Pt 0.000 0.000 0.000
Ni1 Ni 0.500 0.500 0.500
Pt2 Pt 0.750 0.750 0.750
P1 P 0.250 0.250 0.250


Record 2
# NiPPt2 | Alexandria | GGA-PBE | relaxed
# calculated total energy = -5.781 eV per atom
# space-group type = I-4m2
data_NiPPt2
_cell_length_a 4.861
_cell_length_b 4.861
_cell_length_c 4.861
_cell_angle_alpha 135.23
_cell_angle_beta 135.23
_cell_angle_gamma 65.17
_space_group_name_H-M_alt 'P 1'
_space_group_IT_number 1
loop_
_space_group_symop_operation_xyz
'x,y,z'
loop_
_atom_site_label
_atom_site_type_symbol
_atom_site_fract_x
_atom_site_fract_y
_atom_site_fract_z
Pt1 Pt 0.250 0.750 0.500
Ni1 Ni 0.500 0.500 0.000
Pt2 Pt 0.000 0.000 0.000
P1 P 0.750 0.250 0.500


Record 3
# Ni5P3Pt | Alexandria | GGA-PBE | relaxed
# calculated total energy = -6.019 eV per atom
# space-group type = Cmcm
data_Ni5P3Pt
_cell_length_a 3.611
_cell_length_b 6.389
_cell_length_c 10.359
_cell_angle_alpha 90.00
_cell_angle_beta 90.00
_cell_angle_gamma 106.41
_space_group_name_H-M_alt 'P 1'
_space_group_IT_number 1
loop_
_space_group_symop_operation_xyz
'x,y,z'
loop_
_atom_site_label
_atom_site_type_symbol
_atom_site_fract_x
_atom_site_fract_y
_atom_site_fract_z
Ni1 Ni 0.425 0.849 0.132
Ni2 Ni 0.575 0.151 0.868
P1 P 0.871 0.742 0.250
Ni3 Ni 0.000 0.000 0.000
Ni4 Ni 0.797 0.594 0.442
P2 P 0.129 0.258 0.750
Pt1 Pt 0.927 0.854 0.750
P3 P 0.381 0.763 0.919
P4 P 0.619 0.237 0.081
P5 P 0.619 0.237 0.419
Ni5 Ni 0.575 0.151 0.632
Ni6 Ni 0.203 0.406 0.942
Ni7 Ni 0.203 0.406 0.558
P6 P 0.381 0.763 0.581
Ni8 Ni 0.000 0.000 0.500
Ni9 Ni 0.425 0.849 0.368
Pt2 Pt 0.073 0.146 0.250
Ni10 Ni 0.797 0.594 0.058


Record 4
# NiPPt2 | Alexandria | GGA-PBE | relaxed
# calculated total energy = -5.963 eV per atom
# space-group type = I-42d
data_NiPPt2
_cell_length_a 6.841
_cell_length_b 6.841
_cell_length_c 5.472
_cell_angle_alpha 51.31
_cell_angle_beta 51.31
_cell_angle_gamma 90.00
_space_group_name_H-M_alt 'P 1'
_space_group_IT_number 1
loop_
_space_group_symop_operation_xyz
'x,y,z'
loop_
_atom_site_label
_atom_site_type_symbol
_atom_site_fract_x
_atom_site_fract_y
_atom_site_fract_z
Pt1 Pt 0.375 0.422 0.750
P1 P 0.500 0.500 0.000
Ni1 Ni 0.750 0.250 0.500
Pt2 Pt 0.578 0.125 0.250
Ni2 Ni 0.000 0.000 0.000
Pt3 Pt 0.172 0.625 0.250
P2 P 0.250 0.750 0.500
Pt4 Pt 0.875 0.828 0.750


Record 5
# NiPPt2 | Alexandria | GGA-PBE | relaxed
# calculated total energy = -6.017 eV per atom
# space-group type = Imm2
data_NiPPt2
_cell_length_a 5.154
_cell_length_b 5.154
_cell_length_c 5.154
_cell_angle_alpha 146.79
_cell_angle_beta 131.22
_cell_angle_gamma 60.29
_space_group_name_H-M_alt 'P 1'
_space_group_IT_number 1
loop_
_space_group_symop_operation_xyz
'x,y,z'
loop_
_atom_site_label
_atom_site_type_symbol
_atom_site_fract_x
_atom_site_fract_y
_atom_site_fract_z
Pt1 Pt 0.955 0.955 0.000
P1 P 0.746 0.246 0.500
Ni1 Ni 0.557 0.557 0.000
Pt2 Pt 0.242 0.742 0.500


Record 6
# NiPPt2 | Alexandria | GGA-PBE | relaxed
# calculated total energy = -5.812 eV per atom
# space-group type = P4/mmm
data_NiPPt2
_cell_length_a 3.385
_cell_length_b 4.054
_cell_length_c 4.052
_cell_angle_alpha 90.00
_cell_angle_beta 90.00
_cell_angle_gamma 90.00
_space_group_name_H-M_alt 'P 1'
_space_group_IT_number 1
loop_
_space_group_symop_operation_xyz
'x,y,z'
loop_
_atom_site_label
_atom_site_type_symbol
_atom_site_fract_x
_atom_site_fract_y
_atom_site_fract_z
Pt1 Pt 0.000 0.500 0.500
Pt2 Pt 0.000 0.000 0.000
Ni1 Ni 0.500 0.500 0.000
P1 P 0.500 0.000 0.500


Record 7
# NiP2Pt | Alexandria | GGA-PBE | relaxed
# calculated total energy = -6.022 eV per atom
# space-group type = Cm
data_NiP2Pt
_cell_length_a 3.947
_cell_length_b 3.947
_cell_length_c 4.938
_cell_angle_alpha 89.96
_cell_angle_beta 89.96
_cell_angle_gamma 50.70
_space_group_name_H-M_alt 'P 1'
_space_group_IT_number 1
loop_
_space_group_symop_operation_xyz
'x,y,z'
loop_
_atom_site_label
_atom_site_type_symbol
_atom_site_fract_x
_atom_site_fract_y
_atom_site_fract_z
P1 P 0.018 0.018 0.199
Pt1 Pt 0.443 0.443 0.525
P2 P 0.734 0.734 0.749
Ni1 Ni 0.305 0.305 0.026


Record 8
# NiP2Pt | Alexandria | GGA-PBE | relaxed
# calculated total energy = -5.610 eV per atom
# space-group type = Fm-3m
data_NiP2Pt
_cell_length_a 4.251
_cell_length_b 4.251
_cell_length_c 4.251
_cell_angle_alpha 60.00
_cell_angle_beta 60.00
_cell_angle_gamma 60.00
_space_group_name_H-M_alt 'P 1'
_space_group_IT_number 1
loop_
_space_group_symop_operation_xyz
'x,y,z'
loop_
_atom_site_label
_atom_site_type_symbol
_atom_site_fract_x
_atom_site_fract_y
_atom_site_fract_z
P1 P 0.750 0.750 0.750
Pt1 Pt 0.500 0.500 0.500
P2 P 0.250 0.250 0.250
Ni1 Ni 0.000 0.000 0.000


Record 9
# NiPPt2 | Alexandria | GGA-PBE | relaxed
# calculated total energy = -6.020 eV per atom
# space-group type = Immm
data_NiPPt2
_cell_length_a 5.980
_cell_length_b 5.980
_cell_length_c 5.980
_cell_angle_alpha 152.21
_cell_angle_beta 144.33
_cell_angle_gamma 45.81
_space_group_name_H-M_alt 'P 1'
_space_group_IT_number 1
loop_
_space_group_symop_operation_xyz
'x,y,z'
loop_
_atom_site_label
_atom_site_type_symbol
_atom_site_fract_x
_atom_site_fract_y
_atom_site_fract_z
Pt1 Pt 0.324 0.324 0.000
Ni1 Ni 0.000 0.500 0.500
Pt2 Pt 0.676 0.676 0.000
P1 P 0.500 0.000 0.500


Record 10
# NiP2Pt | Alexandria | GGA-PBE | relaxed
# calculated total energy = -5.921 eV per atom
# space-group type = P2/m
data_NiP2Pt
_cell_length_a 3.659
_cell_length_b 4.070
_cell_length_c 4.425
_cell_angle_alpha 102.38
_cell_angle_beta 90.00
_cell_angle_gamma 90.00
_space_group_name_H-M_alt 'P 1'
_space_group_IT_number 1
loop_
_space_group_symop_operation_xyz
'x,y,z'
loop_
_atom_site_label
_atom_site_type_symbol
_atom_site_fract_x
_atom_site_fract_y
_atom_site_fract_z
Ni1 Ni 0.500 0.750 0.750
P1 P 0.000 0.078 0.903
P2 P 0.000 0.422 0.597
Pt1 Pt 0.500 0.250 0.250


Record 11
# NiPPt2 | Alexandria | GGA-PBE | relaxed
# calculated total energy = -5.862 eV per atom
# space-group type = Pmmm
data_NiPPt2
_cell_length_a 2.984
_cell_length_b 3.381
_cell_length_c 5.527
_cell_angle_alpha 90.00
_cell_angle_beta 90.00
_cell_angle_gamma 90.00
_space_group_name_H-M_alt 'P 1'
_space_group_IT_number 1
loop_
_space_group_symop_operation_xyz
'x,y,z'
loop_
_atom_site_label
_atom_site_type_symbol
_atom_site_fract_x
_atom_site_fract_y
_atom_site_fract_z
Pt1 Pt 0.000 0.000 0.751
Ni1 Ni 0.500 0.500 0.000
P1 P 0.500 0.500 0.500
Pt2 Pt 0.000 0.000 0.249


Record 12
# NiPPt2 | Alexandria | GGA-PBE | relaxed
# calculated total energy = -5.837 eV per atom
# space-group type = R-3m
data_NiPPt2
_cell_length_a 8.021
_cell_length_b 8.021
_cell_length_c 8.021
_cell_angle_alpha 20.79
_cell_angle_beta 20.79
_cell_angle_gamma 20.79
_space_group_name_H-M_alt 'P 1'
_space_group_IT_number 1
loop_
_space_group_symop_operation_xyz
'x,y,z'
loop_
_atom_site_label
_atom_site_type_symbol
_atom_site_fract_x
_atom_site_fract_y
_atom_site_fract_z
Ni1 Ni 0.500 0.500 0.500
Pt1 Pt 0.745 0.745 0.745
Pt2 Pt 0.255 0.255 0.255
P1 P 0.000 0.000 0.000